[1]
Density functional theory data (PBE) for an optimized crystal structure of Ce7Si2Sn2.

Cell lengths 7.059, 6.690, 7.059 Å; angles 90.00, 105.77, 90.00 degrees
Last column: magnetic moment on the atom in μB.
Element x y z (fractional)
Ce  0.500  0.246  0.500  0.81
Sn  0.170  0.500  0.170  -0.02
Ce  0.000  0.000  0.000  0.96
Si  0.728  0.000  0.272  -0.03
Ce  0.500  0.708  0.000  0.67
Ce  0.500  0.754  0.500  0.81
Si  0.272  0.000  0.728  -0.03
Ce  0.000  0.708  0.500  0.67
Ce  0.000  0.292  0.500  0.67
Sn  0.830  0.500  0.830  -0.02
Ce  0.500  0.292  0.000  0.67

As for the space group: Cmmm. As for the calculated density: 6.60 Mg/m³. For the calculated total energy, the calculation gives -63.557 eV for the cell shown. For the energy relative to the elements, uncorrected, the calculation gives -0.288 eV/atom.

[2]
Density functional theory data (PBE) for an optimized crystal structure of Ce6SiSn2.

Cell lengths 5.113, 6.845, 9.148 Å; angles 111.97, 106.01, 90.00 degrees
Last column: magnetic moment on the atom in μB.
Element x y z (fractional)
Si  0.000  0.000  0.000  -0.03
Sn  0.346  0.345  0.690  -0.04
Sn  0.654  0.655  0.310  -0.04
Ce  0.500  0.796  0.000  0.79
Ce  0.500  0.204  0.000  0.79
Ce  0.164  0.367  0.329  0.94
Ce  0.836  0.039  0.671  0.94
Ce  0.164  0.961  0.329  0.94
Ce  0.836  0.633  0.671  0.94

As for the space group: C2/m. As for the calculated density: 6.48 Mg/m³. For the calculated total energy, the calculation gives -51.169 eV for the cell shown. For the energy relative to the elements, uncorrected, the calculation gives -0.237 eV/atom.

[3]
Density functional theory data (PBE) for an optimized crystal structure of Ce5Si2Sn.

Cell lengths 7.809, 7.809, 8.942 Å; angles 115.89, 115.89, 90.00 degrees
Last column: magnetic moment on the atom in μB.
Element x y z (fractional)
Sn  0.750  0.750  0.500  -0.03
Ce  0.187  0.032  0.718  0.94
Ce  0.000  0.000  0.000  0.92
Si  0.881  0.619  0.000  -0.04
Ce  0.468  0.313  0.282  0.94
Ce  0.813  0.968  0.282  0.94
Sn  0.250  0.250  0.500  -0.03
Ce  0.968  0.468  0.282  0.94
Si  0.119  0.381  0.000  -0.04
Si  0.619  0.119  0.000  -0.04
Ce  0.032  0.532  0.718  0.94
Ce  0.500  0.500  0.000  0.92
Ce  0.532  0.687  0.718  0.94
Si  0.381  0.881  0.000  -0.04
Ce  0.313  0.813  0.282  0.94
Ce  0.687  0.187  0.718  0.94

As for the space group: I4/mcm. As for the calculated density: 6.78 Mg/m³. For the energy above the most stable polymorph in this dataset, the calculation gives 0.000 eV/atom. For the calculated total energy, the calculation gives -97.586 eV for the cell shown. For the energy relative to the elements, uncorrected, the calculation gives -0.534 eV/atom.

[4]
Density functional theory data (PBE) for an optimized crystal structure of Ce6Si2Sn.

Cell lengths 8.524, 8.524, 8.524 Å; angles 104.23, 110.73, 113.59 degrees
Last column: magnetic moment on the atom in μB.
Element x y z (fractional)
Ce  0.075  0.279  0.796  0.71
Ce  0.483  0.279  0.204  0.71
Ce  0.282  0.970  0.688  0.67
Sn  0.000  0.000  0.000  -0.04
Ce  0.282  0.594  0.312  0.67
Ce  0.718  0.030  0.312  0.67
Ce  0.218  0.249  0.467  0.74
Si  0.500  0.613  0.113  -0.02
Si  0.500  0.387  0.887  -0.02
Ce  0.925  0.721  0.204  0.71
Ce  0.782  0.249  0.031  0.74
Ce  0.782  0.751  0.533  0.74
Ce  0.718  0.406  0.688  0.67
Ce  0.218  0.751  0.969  0.74
Si  0.624  0.000  0.624  -0.02
Ce  0.517  0.721  0.796  0.71
Sn  0.000  0.500  0.500  -0.04
Si  0.376  0.000  0.376  -0.02

As for the space group: Immm. As for the calculated density: 7.12 Mg/m³. For the calculated total energy, the calculation gives -108.630 eV for the cell shown. For the energy relative to the elements, uncorrected, the calculation gives -0.429 eV/atom.

[5]
Density functional theory data (PBE) for an optimized crystal structure of Ce7Si5Sn.

Cell lengths 5.916, 7.895, 7.895 Å; angles 84.16, 67.99, 67.99 degrees
Last column: magnetic moment on the atom in μB.
Element x y z (fractional)
Si  0.035  0.500  0.014  -0.01
Ce  0.313  0.187  0.187  0.41
Ce  0.529  0.805  0.137  0.25
Si  0.035  0.014  0.500  -0.01
Ce  0.977  0.334  0.711  0.39
Si  0.765  0.735  0.735  0.00
Si  0.452  0.500  0.014  -0.01
Ce  0.667  0.333  0.333  0.76
Ce  0.529  0.137  0.805  0.25
Sn  0.982  0.018  0.018  -0.01
Si  0.452  0.014  0.500  -0.01
Ce  0.977  0.711  0.334  0.39
Ce  0.288  0.712  0.712  0.24

As for the space group: Imm2. As for the calculated density: 6.50 Mg/m³. For the calculated total energy, the calculation gives -78.439 eV for the cell shown. For the energy relative to the elements, uncorrected, the calculation gives -0.445 eV/atom.

[6]
Density functional theory data (PBE) for an optimized crystal structure of Ce4Si2Sn.

Cell lengths 4.362, 4.362, 11.869 Å; angles 79.41, 79.41, 60.00 degrees
Last column: magnetic moment on the atom in μB.
Element x y z (fractional)
Ce  0.311  0.311  0.068  0.61
Si  0.400  0.400  0.800  -0.02
Sn  0.500  0.500  0.500  -0.03
Ce  0.112  0.112  0.665  0.35
Ce  0.689  0.689  0.932  0.61
Ce  0.888  0.888  0.335  0.35
Si  0.600  0.600  0.200  -0.02

As for the space group: R-3m. As for the calculated density: 6.39 Mg/m³. For the calculated total energy, the calculation gives -41.249 eV for the cell shown. For the energy relative to the elements, uncorrected, the calculation gives -0.381 eV/atom.

[7]
Density functional theory data (PBE) for an optimized crystal structure of Ce12Si5Sn.

Cell lengths 8.481, 8.481, 8.481 Å; angles 103.53, 113.81, 111.25 degrees
Last column: magnetic moment on the atom in μB.
Element x y z (fractional)
Si  0.623  0.623  0.000  -0.02
Ce  0.075  0.808  0.267  0.73
Ce  0.541  0.808  0.733  0.73
Ce  0.795  0.556  0.762  0.80
Si  0.377  0.377  0.000  -0.02
Si  0.500  0.113  0.613  -0.02
Ce  0.925  0.192  0.733  0.73
Ce  0.719  0.313  0.031  0.69
Ce  0.281  0.687  0.969  0.69
Sn  0.000  0.500  0.500  -0.05
Si  0.500  0.887  0.387  -0.02
Ce  0.459  0.192  0.267  0.73
Ce  0.205  0.444  0.238  0.80
Ce  0.719  0.687  0.406  0.69
Ce  0.281  0.313  0.594  0.69
Ce  0.795  0.033  0.238  0.80
Ce  0.205  0.967  0.762  0.80
Si  0.000  0.000  0.000  -0.02

As for the space group: Immm. As for the calculated density: 6.92 Mg/m³. For the calculated total energy, the calculation gives -109.755 eV for the cell shown. For the energy relative to the elements, uncorrected, the calculation gives -0.413 eV/atom.

[8]
Density functional theory data (PBE) for an optimized crystal structure of Ce4SiSnTe2.

Cell lengths 4.414, 7.674, 7.697 Å; angles 70.73, 90.00, 90.00 degrees
Last column: magnetic moment on the atom in μB.
Element x y z (fractional)
Te  0.000  0.000  0.000  -0.02
Si  0.000  0.500  0.500  -0.03
Te  0.500  0.000  0.500  -0.02
Ce  0.000  0.738  0.743  0.71
Ce  0.500  0.729  0.268  0.73
Sn  0.500  0.500  0.000  -0.04
Ce  0.500  0.271  0.732  0.73
Ce  0.000  0.262  0.257  0.71

As for the space group: P2/m. As for the calculated density: 6.49 Mg/m³. For the calculated total energy, the calculation gives -47.137 eV for the cell shown. For the energy relative to the elements, uncorrected, the calculation gives -0.962 eV/atom.

What did the seventh record say?
Density functional theory data (PBE) for an optimized crystal structure of Ce12Si5Sn.

Cell lengths 8.481, 8.481, 8.481 Å; angles 103.53, 113.81, 111.25 degrees
Last column: magnetic moment on the atom in μB.
Element x y z (fractional)
Si  0.623  0.623  0.000  -0.02
Ce  0.075  0.808  0.267  0.73
Ce  0.541  0.808  0.733  0.73
Ce  0.795  0.556  0.762  0.80
Si  0.377  0.377  0.000  -0.02
Si  0.500  0.113  0.613  -0.02
Ce  0.925  0.192  0.733  0.73
Ce  0.719  0.313  0.031  0.69
Ce  0.281  0.687  0.969  0.69
Sn  0.000  0.500  0.500  -0.05
Si  0.500  0.887  0.387  -0.02
Ce  0.459  0.192  0.267  0.73
Ce  0.205  0.444  0.238  0.80
Ce  0.719  0.687  0.406  0.69
Ce  0.281  0.313  0.594  0.69
Ce  0.795  0.033  0.238  0.80
Ce  0.205  0.967  0.762  0.80
Si  0.000  0.000  0.000  -0.02

As for the space group: Immm. As for the calculated density: 6.92 Mg/m³. For the calculated total energy, the calculation gives -109.755 eV for the cell shown. For the energy relative to the elements, uncorrected, the calculation gives -0.413 eV/atom.

Question: Which of these has the lowest calculated total energy?
Answer: Ce12Si5Sn